# LaAs2BrN (GGA-PBEsol, relaxed)
# * calculated volume: 200.3 Å³/f.u.
# * DOS(E_F): 0.754 states/eV per atom
# * magnetic moment: 5.50 μB per formula unit
# * raw formation energy: 1.160 eV per atom
# * theoretical density: 3.17 Mg/m³
data_LaAs2BrN
_cell_length_a 5.866
_cell_length_b 5.866
_cell_length_c 5.820
_cell_angle_alpha 90.00
_cell_angle_beta 90.00
_cell_angle_gamma 90.00
_symmetry_space_group_name_H-M 'P 4/m m m'
_symmetry_Int_Tables_number 123
_symmetry_space_group_name_Hall '-P 4 2'
loop_
_atom_site_label
_atom_site_type_symbol
_atom_site_fract_x
_atom_site_fract_y
_atom_site_fract_z
_atom_site_occupancy
La1 La 0.000 0.000 0.000 1
As1 As 0.000 0.500 0.000 1
Br1 Br 0.000 0.000 0.500 1
N1 N 0.500 0.500 0.500 1